A relaxed structure of TiMn2MoH, computed with PBE.

**Polymorph energy (0 for the lowest one)**: 17 meV per atom
**Crystal system**: tetragonal

Lattice parameters (Å, degrees): 3.956 3.956 3.624 90.00 90.00 90.00
Space group P4/mmm (No. 123)
One atom of each set of equivalent atoms:
1 Ti 0.000 0.000 0.000 x1
2 Mn 0.000 0.500 0.500 x2
3 Mo 0.500 0.500 0.000 x1
4 H 0.000 0.000 0.500 x1



A relaxed structure of Ca2Pm3Pt4, computed with PBE.

**ΔE_f**: -1.021 eV/atom
**Crystal system**: monoclinic

Lattice parameters (Å, degrees): 7.902 7.833 7.746 90.00 109.48 90.00
Space group P2_1/c (No. 14)
One atom of each set of equivalent atoms:
1 Ca 0.197 0.178 0.079 x4
2 Pm 0.238 0.667 0.250 x4
3 Pm 0.500 0.000 0.500 x2
4 Pt 0.094 0.534 0.869 x4
5 Pt 0.498 0.630 0.628 x4



A relaxed structure of Sm7Er12In, computed with PBE.

**ΔE_f**: 0.055 eV/atom
**Crystal system**: triclinic

Lattice parameters (Å, degrees): 8.728 8.855 9.401 115.12 96.13 98.40
Space group P-1 (No. 2)
One atom of each set of equivalent atoms:
1 Sm 0.000 0.000 0.000 x1
2 Sm 0.173 0.598 0.633 x2
3 Sm 0.298 0.713 0.016 x2
4 Sm 0.416 0.342 0.732 x2
5 Er 0.034 0.308 0.822 x2
6 Er 0.065 0.139 0.422 x2
7 Er 0.207 0.421 0.216 x2
8 Er 0.301 0.061 0.870 x2
9 Er 0.310 0.877 0.458 x2
10 Er 0.408 0.128 0.257 x2
11 In 0.500 0.500 0.500 x1



A relaxed structure of Mo3W2, computed with PBE.

**ΔE_f**: 0.581 eV/atom
**Polymorph energy (0 for the lowest one)**: 598 meV per atom
**Crystal system**: trigonal

Lattice parameters (Å, degrees): 4.3656 4.3656 5.4150 90.00 90.00 120.00
Space group P-3m1 (No. 164)
One atom of each set of equivalent atoms:
1 Mo 0.0000 0.0000 0.0000 x1
2 Mo 0.3333 0.6667 0.3461 x2
3 W 0.3333 0.6667 0.8323 x2



A relaxed structure of InReHg, computed with PBE.

**ΔE_f**: 1.027 eV/atom
**Polymorph energy (0 for the lowest one)**: 290 meV per atom
**Crystal system**: cubic

Lattice parameters (Å, degrees): 6.532 6.532 6.532 90.00 90.00 90.00
Space group F-43m (No. 216)
One atom of each set of equivalent atoms:
1 In 0.000 0.000 0.000 x4
2 Re 0.250 0.250 0.250 x4
3 Hg 0.000 0.000 0.500 x4



A relaxed structure of AgCO2F, computed with PBE.

**Raw formation energy**: 1.561 eV/atom
**Crystal system**: tetragonal

Lattice parameters (Å, degrees): 4.058 4.058 4.046 90.00 90.00 90.00
Space group P4/mmm (No. 123)
One atom of each set of equivalent atoms:
1 Ag 0.000 0.000 0.000 x1
2 C 0.500 0.500 0.500 x1
3 O 0.000 0.500 0.000 x2
4 F 0.000 0.000 0.500 x1